Ac7PdI12: optimized geometry, PBE-GGA.

```
Ac7PdI12
1.0
8.530 4.925 3.754
-8.530 4.925 3.754
0.000 -9.850 3.754
Ac Pd I
7 1 12
Cartesian
0.000 0.000 0.000
-1.712 -1.755 3.861
-0.664 2.361 3.861
2.376 -0.605 3.861
-2.376 0.605 7.400
0.664 -2.361 7.400
1.713 1.755 7.400
0.000 0.000 5.631
-2.790 0.725 1.701
0.767 -2.779 1.701
-4.594 -1.186 5.534
-1.270 -4.571 5.727
2.023 2.053 1.701
-3.324 3.385 5.727
3.324 -3.385 5.534
-2.023 -2.053 9.560
1.270 4.571 5.534
4.594 1.186 5.727
-0.767 2.779 9.560
2.790 -0.725 9.560
```

Calculated values
Formation energy (no corrections), eV/atom: -1.31
Mass density, Mg/m³: 5.65
Space group: R-3, No. 148